ScZnCl2: relaxed, PBE.

Output
Density of states at the Fermi level: 1.377 states/eV/cell
Polymorph energy (0 for the lowest one): 62 kJ/mol of formula units

abc: 3.5894 3.5967 9.9394
angles: 90.00 90.33 90.00
Closest atoms and distances in Å follow each position.
Space group P2/m (No. 10)
Asymmetric unit:
Sc  0.0000  0.0000  0.0000 [1 per cell]  4 Cl 2.49
Zn  0.5000  0.0000  0.5000 [1 per cell]  4 Zn 3.59-3.60
Cl  0.0026  0.5000  0.1729 [2 per cell]  2 Sc 2.49

=====

ScZnCl6: relaxed, PBE.

Output
Density of states at the Fermi level: 12.939 states/eV/cell
Total energy: -28.81 eV/cell

abc: 6.2524 6.2530 6.6935
angles: 62.25 62.27 60.00
Closest atoms and distances in Å follow each position.
Space group P-1 (No. 2)
Asymmetric unit:
Sc  0.0000  0.0000  0.0000 [1 per cell]  6 Cl 2.50
Zn  0.5000  0.5000  0.5000 [1 per cell]  6 Cl 2.48
Cl  0.0943  0.7494  0.7479 [2 per cell]  1 Zn 2.48, 1 Sc 2.50
Cl  0.2516  0.5918  0.2509 [2 per cell]  1 Zn 2.48, 1 Sc 2.50
Cl  0.4075  0.0947  0.7486 [2 per cell]  1 Zn 2.48, 1 Sc 2.50

=====

ScZnCl2: relaxed, PBE.

Output
Density of states at the Fermi level: 4.668 states/eV/cell
Polymorph energy (0 for the lowest one): 31 kJ/mol of formula units

abc: 3.3656 5.1766 13.0220
angles: 90.00 90.00 90.00
Closest atoms and distances in Å follow each position.
Space group Immm (No. 71)
Asymmetric unit:
Sc  0.0000  0.0000  0.0000 [2 per cell]  4 Cl 2.52
Zn  0.0000  0.0000  0.5000 [2 per cell]  4 Sc 3.09, 4 Cl 3.20, 2 Zn 3.37
Cl  0.0000  0.5000  0.3560 [4 per cell]  2 Sc 2.52

=====

ScZn2Cl: relaxed, PBE.

Output
Density of states at the Fermi level: 5.667 states/eV/cell
Polymorph energy (0 for the lowest one): 119 kJ/mol of formula units

abc: 3.5377 5.4147 8.3502
angles: 90.00 90.00 90.00
Closest atoms and distances in Å follow each position.
Space group Cmmm (No. 65)
Asymmetric unit:
Sc  0.0000  0.0000  0.0000 [2 per cell]  4 Zn 2.81
Zn  0.0000  0.5000  0.2614 [4 per cell]  2 Cl 2.66, 2 Sc 2.81
Cl  0.0000  0.0000  0.5000 [2 per cell]  4 Zn 2.66